Computed, not measured: a relaxed structure of Li2LaNi at the PBE level of DFT.

Properties
The calculation puts the formation energy at 0.007 eV per atom. The density comes out at 4.31 g/cm³. As for the offset from the most stable computed form: 0.063 eV/atom. The energy comes out at -3.63 eV/atom. For the magnetic moment, the calculation gives 0.00 μB per atom. The crystal system is monoclinic.

Lattice parameters (Å, degrees): 7.636 4.407 5.470 90.00 117.82 90.00
Space group Cm (No. 8)
One atom of each set of equivalent atoms:
Li 0.000 0.000 0.000 [2 per cell]
Li 0.216 0.500 0.148 [2 per cell]
La 0.199 0.000 0.598 [2 per cell]
Ni 0.412 0.000 0.235 [2 per cell]